A plane-wave DFT calculation with GGA-PBE was carried out for a geometry-optimized LiPmGePt structure.

## Properties
energy of formation from the pure elements: -0.781 eV per atom

Geometry as POSCAR:
```
LiPmGePt
1.0
0.000 3.327 3.327
3.327 0.000 3.327
3.327 3.327 0.000
Li Pm Ge Pt
1 1 1 1
direct
0.000 0.000 0.000
0.250 0.250 0.250
0.750 0.750 0.750
0.500 0.500 0.500
```

=====

A plane-wave DFT calculation with GGA-PBE was carried out for a geometry-optimized Li2PmGe2Pt structure.

## Properties
energy of formation from the pure elements: 0.143 eV per atom

Geometry as POSCAR:
```
Li2PmGe2Pt
1.0
-1.961 1.961 9.963
1.961 -1.961 9.963
1.961 1.961 -9.963
Li Pm Ge Pt
2 1 2 1
direct
0.250 0.750 0.500
0.750 0.250 0.500
0.000 0.000 0.000
0.150 0.150 0.000
0.850 0.850 0.000
0.500 0.500 0.000
```

=====

A plane-wave DFT calculation with GGA-PBE was carried out for a geometry-optimized LiPmGePt structure.

## Properties
energy of formation from the pure elements: -0.391 eV per atom

Geometry as POSCAR:
```
LiPmGePt
1.0
3.723 -2.149 0.000
3.723 2.149 0.000
-2.473 0.000 7.644
Li Pm Ge Pt
1 1 1 1
direct
0.000 0.000 0.000
0.835 0.835 0.513
0.413 0.413 0.245
0.107 0.107 0.329
```

=====

A plane-wave DFT calculation with GGA-PBE was carried out for a geometry-optimized LiPm2Ge4Pt3 structure.

## Properties
energy of formation from the pure elements: -0.878 eV per atom

Geometry as POSCAR:
```
LiPm2Ge4Pt3
1.0
4.303 0.000 0.000
0.000 4.303 0.000
0.000 0.000 10.336
Li Pm Ge Pt
1 2 4 3
direct
0.000 0.000 0.000
0.000 0.500 0.753
0.500 0.000 0.247
0.000 0.000 0.500
0.000 0.500 0.133
0.500 0.000 0.867
0.500 0.500 0.500
0.000 0.500 0.373
0.500 0.000 0.627
0.500 0.500 0.000
```

=====

A plane-wave DFT calculation with GGA-PBE was carried out for a geometry-optimized LiPmGe2Pt structure.

## Properties
energy of formation from the pure elements: -0.836 eV per atom

Geometry as POSCAR:
```
LiPmGe2Pt
1.0
-2.077 2.077 5.388
2.077 -2.077 5.388
2.077 2.077 -5.388
Li Pm Ge Pt
1 1 2 1
direct
0.000 0.000 0.000
0.250 0.750 0.500
0.634 0.134 0.500
0.866 0.366 0.500
0.500 0.500 0.000
```

=====

A plane-wave DFT calculation with GGA-PBE was carried out for a geometry-optimized LiPmPuGe structure.

## Properties
energy of formation from the pure elements: 0.015 eV per atom

Geometry as POSCAR:
```
LiPmPuGe
1.0
0.000 3.584 3.584
3.584 0.000 3.584
3.584 3.584 0.000
Li Pm Pu Ge
1 1 1 1
direct
0.000 0.000 0.000
0.250 0.250 0.250
0.500 0.500 0.500
0.750 0.750 0.750
```

=====

A plane-wave DFT calculation with GGA-PBE was carried out for a geometry-optimized LiPmGe2Rh structure.

## Properties
energy of formation from the pure elements: -0.724 eV per atom

Geometry as POSCAR:
```
LiPmGe2Rh
1.0
-2.086 2.086 5.267
2.086 -2.086 5.267
2.086 2.086 -5.267
Li Pm Ge Rh
1 1 2 1
direct
0.000 0.000 0.000
0.750 0.250 0.500
0.130 0.630 0.500
0.370 0.870 0.500
0.500 0.500 0.000
```

=====

A plane-wave DFT calculation with GGA-PBE was carried out for a geometry-optimized LiPm2Ge3Rh4 structure.

## Properties
energy of formation from the pure elements: -0.827 eV per atom

Geometry as POSCAR:
```
LiPm2Ge3Rh4
1.0
4.148 0.000 0.000
0.000 4.148 0.000
0.000 0.000 10.477
Li Pm Ge Rh
1 2 3 4
direct
0.000 0.000 0.000
0.000 0.500 0.752
0.500 0.000 0.248
0.000 0.500 0.370
0.500 0.000 0.630
0.500 0.500 0.000
0.000 0.000 0.500
0.000 0.500 0.135
0.500 0.000 0.865
0.500 0.500 0.500
```

=====

A plane-wave DFT calculation with GGA-PBE was carried out for a geometry-optimized LiPmGeRh structure.

## Properties
energy of formation from the pure elements: -0.573 eV per atom

Geometry as POSCAR:
```
LiPmGeRh
1.0
0.000 3.294 3.294
3.294 0.000 3.294
3.294 3.294 0.000
Li Pm Ge Rh
1 1 1 1
direct
0.000 0.000 0.000
0.250 0.250 0.250
0.750 0.750 0.750
0.500 0.500 0.500
```

=====

A plane-wave DFT calculation with GGA-PBE was carried out for a geometry-optimized LiPm3Ge6Rh2 structure.

## Properties
energy of formation from the pure elements: -0.432 eV per atom

Geometry as POSCAR:
```
LiPm3Ge6Rh2
1.0
5.895 0.000 0.000
-2.947 5.105 0.000
0.000 0.000 8.231
Li Pm Ge Rh
1 3 6 2
direct
0.000 0.000 0.000
0.000 0.000 0.500
0.333 0.667 0.114
0.667 0.333 0.886
0.183 0.366 0.779
0.183 0.817 0.779
0.366 0.183 0.221
0.634 0.817 0.779
0.817 0.183 0.221
0.817 0.634 0.221
0.333 0.667 0.539
0.667 0.333 0.461
```

=====

A plane-wave DFT calculation with GGA-PBE was carried out for a geometry-optimized LiPm2Ge6Rh structure.

## Properties
energy of formation from the pure elements: -0.453 eV per atom

Geometry as POSCAR:
```
LiPm2Ge6Rh
1.0
3.149 1.818 12.030
-3.149 1.818 12.030
0.000 -3.637 12.030
Li Pm Ge Rh
2 4 12 2
direct
0.000 0.000 0.000
0.500 0.500 0.500
0.113 0.113 0.113
0.299 0.299 0.299
0.701 0.701 0.701
0.887 0.887 0.887
0.060 0.663 0.663
0.235 0.235 0.661
0.235 0.661 0.235
0.337 0.337 0.940
0.337 0.940 0.337
0.339 0.765 0.765
0.661 0.235 0.235
0.663 0.060 0.663
0.663 0.663 0.060
0.765 0.339 0.765
0.765 0.765 0.339
0.940 0.337 0.337
0.432 0.432 0.432
0.568 0.568 0.568
```

=====

A plane-wave DFT calculation with GGA-PBE was carried out for a geometry-optimized LiPm2Ge2Rh5 structure.

## Properties
energy of formation from the pure elements: -0.628 eV per atom

Geometry as POSCAR:
```
LiPm2Ge2Rh5
1.0
9.963 0.000 0.000
0.000 9.963 0.000
0.000 0.000 3.539
Li Pm Ge Rh
2 4 4 10
direct
0.000 0.000 0.000
0.500 0.500 0.000
0.173 0.327 0.000
0.327 0.827 0.000
0.673 0.173 0.000
0.827 0.673 0.000
0.126 0.626 0.000
0.374 0.126 0.000
0.626 0.874 0.000
0.874 0.374 0.000
0.000 0.500 0.500
0.066 0.791 0.500
0.209 0.066 0.500
0.291 0.566 0.500
0.434 0.291 0.500
0.500 0.000 0.500
0.566 0.709 0.500
0.709 0.434 0.500
0.791 0.934 0.500
0.934 0.209 0.500
```

=====

A plane-wave DFT calculation with GGA-PBE was carried out for a geometry-optimized LiPmGe2S6 structure.

## Properties
energy relative to the elements, uncorrected: -0.86 eV/atom

Geometry as POSCAR:
```
LiPmGe2S6
1.0
6.397 -5.879 0.000
6.397 5.879 0.000
-2.097 0.000 6.429
Li Pm Ge S
2 2 4 12
direct
0.246 0.754 0.750
0.754 0.246 0.250
0.374 0.626 0.250
0.626 0.374 0.750
0.123 0.280 0.738
0.280 0.123 0.238
0.720 0.877 0.762
0.877 0.720 0.262
0.067 0.198 0.010
0.107 0.620 0.400
0.198 0.067 0.510
0.308 0.464 0.831
0.380 0.893 0.100
0.464 0.308 0.331
0.536 0.692 0.669
0.620 0.107 0.900
0.692 0.536 0.169
0.802 0.933 0.490
0.893 0.380 0.600
0.933 0.802 0.990
```

=====

A plane-wave DFT calculation with GGA-PBE was carried out for a geometry-optimized LiPmGeS4 structure.

## Properties
energy relative to the elements, uncorrected: -1.04 eV/atom

Geometry as POSCAR:
```
LiPmGeS4
1.0
-3.772 3.992 5.293
3.772 -3.992 5.293
3.772 3.992 -5.293
Li Pm Ge S
2 2 2 8
direct
0.500 0.000 0.000
0.500 0.500 0.500
0.000 0.000 0.000
0.500 0.000 0.500
0.120 0.370 0.750
0.880 0.630 0.250
0.227 0.737 0.491
0.254 0.263 0.991
0.256 0.266 0.510
0.256 0.746 0.990
0.744 0.254 0.010
0.744 0.734 0.490
0.746 0.737 0.009
0.773 0.263 0.509
```

=====

A plane-wave DFT calculation with GGA-PBE was carried out for a geometry-optimized Li3Pm3GeS8 structure.

## Properties
energy relative to the elements, uncorrected: -1.43 eV/atom

Geometry as POSCAR:
```
Li3Pm3GeS8
1.0
3.969 2.291 6.120
-3.969 2.291 6.120
0.000 -4.583 6.120
Li Pm Ge S
3 3 1 8
direct
0.000 0.500 0.500
0.500 0.000 0.500
0.500 0.500 0.000
0.000 0.000 0.500
0.000 0.500 0.000
0.500 0.000 0.000
0.500 0.500 0.500
0.252 0.252 0.252
0.274 0.274 0.714
0.274 0.714 0.274
0.286 0.726 0.726
0.714 0.274 0.274
0.726 0.286 0.726
0.726 0.726 0.286
0.748 0.748 0.748
```

=====

A plane-wave DFT calculation with GGA-PBE was carried out for a geometry-optimized LiPmGeSb structure.

## Properties
energy relative to the elements, uncorrected: -0.44 eV/atom

Geometry as POSCAR:
```
LiPmGeSb
1.0
0.000 3.635 3.635
3.635 0.000 3.635
3.635 3.635 0.000
Li Pm Ge Sb
1 1 1 1
direct
0.000 0.000 0.000
0.500 0.500 0.500
0.750 0.750 0.750
0.250 0.250 0.250
```

=====

A plane-wave DFT calculation with GGA-PBE was carried out for a geometry-optimized LiPmScGe structure.

## Properties
energy of formation from the pure elements: -0.418 eV per atom

Geometry as POSCAR:
```
LiPmScGe
1.0
0.000 3.496 3.496
3.496 0.000 3.496
3.496 3.496 0.000
Li Pm Sc Ge
1 1 1 1
direct
0.000 0.000 0.000
0.250 0.250 0.250
0.750 0.750 0.750
0.500 0.500 0.500
```

=====

A plane-wave DFT calculation with GGA-PBE was carried out for a geometry-optimized LiPm2GeSe5 structure.

## Properties
energy relative to the elements, uncorrected: -1.29 eV/atom

Geometry as POSCAR:
```
LiPm2GeSe5
1.0
2.097 -8.822 0.000
2.097 8.822 0.000
0.000 0.000 11.722
Li Pm Ge Se
2 4 2 10
direct
0.215 0.785 0.500
0.785 0.215 0.000
0.121 0.879 0.160
0.132 0.868 0.784
0.868 0.132 0.284
0.879 0.121 0.660
0.431 0.569 0.941
0.569 0.431 0.441
0.044 0.956 0.548
0.292 0.708 0.148
0.313 0.687 0.825
0.359 0.641 0.477
0.500 0.500 0.256
0.500 0.500 0.756
0.641 0.359 0.977
0.687 0.313 0.325
0.708 0.292 0.648
0.956 0.044 0.048
```

=====

A plane-wave DFT calculation with GGA-PBE was carried out for a geometry-optimized Li2PmGeSe4 structure.

## Properties
energy relative to the elements, uncorrected: -1.08 eV/atom

Geometry as POSCAR:
```
Li2PmGeSe4
1.0
-3.903 4.100 5.672
3.903 -4.100 5.672
3.903 4.100 -5.672
Li Pm Ge Se
4 2 2 8
direct
0.000 0.000 0.000
0.500 0.000 0.000
0.500 0.000 0.500
0.500 0.500 0.500
0.000 0.500 0.500
0.500 0.500 0.000
0.000 0.000 0.500
0.000 0.500 0.000
0.228 0.242 0.986
0.244 0.758 0.486
0.245 0.232 0.487
0.245 0.758 0.013
0.755 0.242 0.987
0.755 0.768 0.513
0.756 0.242 0.514
0.772 0.758 0.014
```

=====

A plane-wave DFT calculation with GGA-PBE was carried out for a geometry-optimized LiPmSiGe structure.

## Properties
energy relative to the elements, uncorrected: -0.27 eV/atom

Geometry as POSCAR:
```
LiPmSiGe
1.0
0.000 3.464 3.464
3.464 0.000 3.464
3.464 3.464 0.000
Li Pm Si Ge
1 1 1 1
direct
0.000 0.000 0.000
0.500 0.500 0.500
0.250 0.250 0.250
0.750 0.750 0.750
```